(1)
# TaBe2Ir GGA-PBEsol optimized geometry
data_TaBe2Ir
_cell_length_a 2.9825
_cell_length_b 3.9621
_cell_length_c 4.3219
_cell_angle_alpha 90.00
_cell_angle_beta 90.00
_cell_angle_gamma 90.00
_symmetry_space_group_name_H-M 'P m m m'
_symmetry_Int_Tables_number 47
_symmetry_space_group_name_Hall '-P 2 2'
loop_
_atom_site_label
_atom_site_fract_x
_atom_site_fract_y
_atom_site_fract_z
Ta1 0.0000 0.0000 0.0000
Be1 0.0000 0.5000 0.5000
Be2 0.5000 0.5000 0.0000
Ir1 0.5000 0.0000 0.5000
# calculated formation energy = -0.0914 eV/atom
# D(E_F) = 0.3969 states/eV/atom
# energy = -7.6850 eV/atom

---

(2)
# V2Se2O9 GGA-PBEsol optimized geometry
data_V2Se2O9
_cell_length_a 8.0753
_cell_length_b 10.3096
_cell_length_c 10.2935
_cell_angle_alpha 90.00
_cell_angle_beta 127.08
_cell_angle_gamma 90.00
_symmetry_space_group_name_H-M 'P 1 21/c 1'
_symmetry_Int_Tables_number 14
_symmetry_space_group_name_Hall '-P 2ybc'
loop_
_atom_site_label
_atom_site_fract_x
_atom_site_fract_y
_atom_site_fract_z
V1 0.0251 0.1054 0.2966
V2 0.3689 0.0314 0.7152
Se1 0.2463 0.1599 0.1333
Se2 0.3199 0.6564 0.8779
O1 0.0839 0.7259 0.7237
O2 0.0962 0.5514 0.3840
O3 0.1360 0.5426 0.1509
O4 0.2257 0.5304 0.9315
O5 0.2425 0.1781 0.5739
O6 0.2451 0.1862 0.2979
O7 0.3670 0.5705 0.7621
O8 0.4511 0.0916 0.8858
O9 0.4906 0.6397 0.2673
# D(E_F) = 0.0000 states/eV/atom
# raw formation energy = -1.555 eV per atom
# energy = -7.2639 eV/atom

---

(3)
# HfZrZn2Hg GGA-PBEsol optimized geometry
data_HfZrZn2Hg
_cell_length_a 5.0478
_cell_length_b 5.0478
_cell_length_c 5.0510
_cell_angle_alpha 90.00
_cell_angle_beta 90.00
_cell_angle_gamma 90.00
_symmetry_space_group_name_H-M 'P 4/m m m'
_symmetry_Int_Tables_number 123
_symmetry_space_group_name_Hall '-P 4 2'
loop_
_atom_site_label
_atom_site_fract_x
_atom_site_fract_y
_atom_site_fract_z
Hf1 0.0000 0.0000 0.0000
Zr1 0.0000 0.0000 0.5000
Zn1 0.0000 0.5000 0.5000
Hg1 0.5000 0.5000 0.0000
# calculated formation energy = 1.1184 eV/atom
# D(E_F) = 0.9143 states/eV/atom
# energy = -3.5463 eV/atom